[1]
ScZnI2N: relaxed, PBE.

ΔE to the lowest computed polymorph (eV/atom): 0.0000

CIF file:
```
data_ScZnI2N
_chemical_formula_sum 'Sc1 Zn1 I2 N1'
_symmetry_space_group_name_H-M 'P 4/m m m'
_symmetry_Int_Tables_number 123
_symmetry_space_group_name_Hall '-P 4 2'
_cell_length_a 5.937
_cell_length_b 5.937
_cell_length_c 3.962
_cell_angle_alpha 90.00
_cell_angle_beta 90.00
_cell_angle_gamma 90.00
loop_
_atom_site_label
_atom_site_type_symbol
_atom_site_fract_x
_atom_site_fract_y
_atom_site_fract_z
Sc1 Sc 0.000 0.000 0.000
Zn1 Zn 0.500 0.500 0.500
I1 I 0.000 0.500 0.000
N1 N 0.000 0.000 0.500
```

[2]
K2LiTcBi: relaxed, PBE.

ΔE_f (eV/atom): 0.898

CIF file:
```
data_K2LiTcBi
_chemical_formula_sum 'K2 Li1 Tc1 Bi1'
_symmetry_space_group_name_H-M 'P 4/m m m'
_symmetry_Int_Tables_number 123
_symmetry_space_group_name_Hall '-P 4 2'
_cell_length_a 5.961
_cell_length_b 5.961
_cell_length_c 5.046
_cell_angle_alpha 90.00
_cell_angle_beta 90.00
_cell_angle_gamma 90.00
loop_
_atom_site_label
_atom_site_type_symbol
_atom_site_fract_x
_atom_site_fract_y
_atom_site_fract_z
K1 K 0.000 0.500 0.000
Li1 Li 0.000 0.000 0.000
Tc1 Tc 0.500 0.500 0.500
Bi1 Bi 0.000 0.000 0.500
```

Calculated volume: 139.6, 179.3 (Å³ per cell)
Theoretical density: 4.498, 3.632 (Mg/m³)